Entry 1:
Below is a relaxed BeOsCl2 crystal, with properties calculated at the PBE level.

Unit cell a=3.9554 b=3.9554 c=7.5058 alpha=93.54 beta=93.54 gamma=44.73
Sites, in units of the cell vectors:
Be  0.0000  0.0000  0.0000
Os  0.7329  0.7329  0.1185
Cl  0.2859  0.2859  0.3521
Cl  0.6040  0.6040  0.8201

***

Entry 2:
Below is a relaxed BeOs2Cl crystal, with properties calculated at the PBE level.

Unit cell a=4.1943 b=4.1943 c=2.8878 alpha=90.00 beta=90.00 gamma=90.00
Sites, in units of the cell vectors:
Be  0.0000  0.0000  0.0000
Os  0.0000  0.5000  0.5000
Os  0.5000  0.0000  0.5000
Cl  0.5000  0.5000  0.0000

***

How do the records compare in energy above the most stable polymorph in this dataset? In the order shown, they have 37 786 meV/atom.
How do the records compare in uncorrected formation energy? In the order shown, they have -20 1018 meV/atom.
How do the records compare in electronic total energy? In the order shown, they have -18.73 -23.96 eV for the cell shown.